# 1
# PrNdSc2As4, relaxed, DFT PBE-GGA
data_PrNdSc2As4
_cell_length_a 7.0536
_cell_length_b 4.1021
_cell_length_c 7.1000
_cell_angle_alpha 90.00
_cell_angle_beta 109.61
_cell_angle_gamma 90.00
_symmetry_space_group_name_H-M 'P 1'
_symmetry_Int_Tables_number 1
_symmetry_space_group_name_Hall 'P 1'
loop_
_atom_site_label
_atom_site_fract_x
_atom_site_fract_y
_atom_site_fract_z
_atom_site_occupancy
Pr1 0.0000 0.0000 0.0000 1
Nd1 0.0000 0.5000 0.5000 1
Sc1 0.5000 0.0000 0.5000 1
Sc2 0.5000 0.5000 0.0000 1
As1 0.2751 0.0000 0.7574 1
As2 0.2758 0.5000 0.2596 1
As3 0.7242 0.5000 0.7404 1
As4 0.7249 0.0000 0.2426 1
# * energy of formation: -1406 meV per atom
# * symmetry: P2/m
# * V: 193.5 Å³/cell
# * DOS at the Fermi energy: 0.94 states/eV/cell

---

# 2
# PrNd2ScAs4, relaxed, DFT PBE-GGA
data_PrNd2ScAs4
_cell_length_a 7.2565
_cell_length_b 4.2020
_cell_length_c 7.2593
_cell_angle_alpha 90.00
_cell_angle_beta 109.49
_cell_angle_gamma 90.00
_symmetry_space_group_name_H-M 'P 1'
_symmetry_Int_Tables_number 1
_symmetry_space_group_name_Hall 'P 1'
loop_
_atom_site_label
_atom_site_fract_x
_atom_site_fract_y
_atom_site_fract_z
_atom_site_occupancy
Pr1 0.0000 0.0000 0.0000 1
Nd1 0.0000 0.5000 0.5000 1
Nd2 0.5000 0.0000 0.5000 1
Sc1 0.5000 0.5000 0.0000 1
As1 0.2592 0.5000 0.2436 1
As2 0.2661 0.0000 0.7647 1
As3 0.7339 0.0000 0.2353 1
As4 0.7408 0.5000 0.7564 1
# * energy of formation: -1428 meV per atom
# * symmetry: P2/m
# * V: 208.7 Å³/cell
# * DOS at the Fermi energy: 0.52 states/eV/cell

---

# 3
# PrNdAsSe, relaxed, DFT PBE-GGA
data_PrNdAsSe
_cell_length_a 4.2644
_cell_length_b 4.2644
_cell_length_c 21.0620
_cell_angle_alpha 90.00
_cell_angle_beta 90.00
_cell_angle_gamma 120.00
_symmetry_space_group_name_H-M 'P 1'
_symmetry_Int_Tables_number 1
_symmetry_space_group_name_Hall 'P 1'
loop_
_atom_site_label
_atom_site_fract_x
_atom_site_fract_y
_atom_site_fract_z
_atom_site_occupancy
Pr1 0.0000 0.0000 0.0000 1
Pr2 0.3333 0.6667 0.6667 1
Pr3 0.6667 0.3333 0.3333 1
Nd1 0.0000 0.0000 0.4927 1
Nd2 0.3333 0.6667 0.1594 1
Nd3 0.6667 0.3333 0.8260 1
As1 0.0000 0.0000 0.7471 1
As2 0.3333 0.6667 0.4138 1
As3 0.6667 0.3333 0.0805 1
Se1 0.0000 0.0000 0.2455 1
Se2 0.3333 0.6667 0.9122 1
Se3 0.6667 0.3333 0.5789 1
# * symmetry: R3m
# * uncorrected formation energy: -1732 meV per atom
# * V: 331.7 Å³/cell
# * DOS at the Fermi energy: 4.76 states/eV/cell

---

# 4
# Pr2Nd3SmAs6, relaxed, DFT PBE-GGA
data_Pr2Nd3SmAs6
_cell_length_a 9.5581
_cell_length_b 9.5581
_cell_length_c 8.5488
_cell_angle_alpha 102.94
_cell_angle_beta 102.94
_cell_angle_gamma 25.86
_symmetry_space_group_name_H-M 'P 1'
_symmetry_Int_Tables_number 1
_symmetry_space_group_name_Hall 'P 1'
loop_
_atom_site_label
_atom_site_fract_x
_atom_site_fract_y
_atom_site_fract_z
_atom_site_occupancy
Pr1 0.1661 0.1661 0.3326 1
Pr2 0.8339 0.8339 0.6674 1
Nd1 0.1669 0.1669 0.8338 1
Nd2 0.5000 0.5000 0.5000 1
Nd3 0.8331 0.8331 0.1662 1
Sm1 0.5000 0.5000 0.0000 1
As1 0.0007 0.0007 0.7529 1
As2 0.3338 0.3338 0.4154 1
As3 0.3344 0.3344 0.9187 1
As4 0.6656 0.6656 0.0813 1
As5 0.6662 0.6662 0.5846 1
As6 0.9993 0.9993 0.2471 1
# * energy of formation: -1510 meV per atom
# * symmetry: C2/m
# * V: 331.6 Å³/cell
# * DOS at the Fermi energy: 1.71 states/eV/cell

---

# 5
# Pr3Nd2SmAs6, relaxed, DFT PBE-GGA
data_Pr3Nd2SmAs6
_cell_length_a 9.5703
_cell_length_b 9.5703
_cell_length_c 8.5598
_cell_angle_alpha 102.93
_cell_angle_beta 102.93
_cell_angle_gamma 25.86
_symmetry_space_group_name_H-M 'P 1'
_symmetry_Int_Tables_number 1
_symmetry_space_group_name_Hall 'P 1'
loop_
_atom_site_label
_atom_site_fract_x
_atom_site_fract_y
_atom_site_fract_z
_atom_site_occupancy
Pr1 0.0000 0.0000 0.0000 1
Pr2 0.3332 0.3332 0.6665 1
Pr3 0.6668 0.6668 0.3335 1
Nd1 0.3337 0.3337 0.1672 1
Nd2 0.6663 0.6663 0.8328 1
Sm1 0.0000 0.0000 0.5000 1
As1 0.1653 0.1653 0.5839 1
As2 0.1671 0.1671 0.0821 1
As3 0.4997 0.4997 0.2537 1
As4 0.5003 0.5003 0.7463 1
As5 0.8329 0.8329 0.9179 1
As6 0.8347 0.8347 0.4161 1
# * energy of formation: -1508 meV per atom
# * symmetry: C2/m
# * V: 332.9 Å³/cell
# * DOS at the Fermi energy: 1.72 states/eV/cell

---

# 6
# PrNd3Sm2As6, relaxed, DFT PBE-GGA
data_PrNd3Sm2As6
_cell_length_a 7.3770
_cell_length_b 7.3770
_cell_length_c 7.3786
_cell_angle_alpha 99.58
_cell_angle_beta 99.58
_cell_angle_gamma 119.99
_symmetry_space_group_name_H-M 'P 1'
_symmetry_Int_Tables_number 1
_symmetry_space_group_name_Hall 'P 1'
loop_
_atom_site_label
_atom_site_fract_x
_atom_site_fract_y
_atom_site_fract_z
_atom_site_occupancy
Pr1 0.0000 0.0000 0.0000 1
Nd1 0.1661 0.8339 0.5000 1
Nd2 0.5000 0.5000 0.5000 1
Nd3 0.8339 0.1661 0.5000 1
Sm1 0.3332 0.6668 0.0000 1
Sm2 0.6668 0.3332 0.0000 1
As1 0.0829 0.4191 0.2486 1
As2 0.2536 0.2536 0.7519 1
As3 0.4191 0.0829 0.2486 1
As4 0.5809 0.9171 0.7514 1
As5 0.7464 0.7464 0.2481 1
As6 0.9171 0.5809 0.7514 1
# * energy of formation: -1514 meV per atom
# * symmetry: C2/m
# * V: 327.9 Å³/cell
# * DOS at the Fermi energy: 1.54 states/eV/cell

---

# 7
# PrNd2Sm3As6, relaxed, DFT PBE-GGA
data_PrNd2Sm3As6
_cell_length_a 9.5009
_cell_length_b 9.5009
_cell_length_c 8.4975
_cell_angle_alpha 102.92
_cell_angle_beta 102.92
_cell_angle_gamma 25.86
_symmetry_space_group_name_H-M 'P 1'
_symmetry_Int_Tables_number 1
_symmetry_space_group_name_Hall 'P 1'
loop_
_atom_site_label
_atom_site_fract_x
_atom_site_fract_y
_atom_site_fract_z
_atom_site_occupancy
Pr1 0.0000 0.0000 0.0000 1
Nd1 0.3331 0.3331 0.6667 1
Nd2 0.6669 0.6669 0.3333 1
Sm1 0.0000 0.0000 0.5000 1
Sm2 0.3334 0.3334 0.1671 1
Sm3 0.6666 0.6666 0.8329 1
As1 0.1659 0.1659 0.5849 1
As2 0.1680 0.1680 0.0814 1
As3 0.4993 0.4993 0.2534 1
As4 0.5007 0.5007 0.7466 1
As5 0.8320 0.8320 0.9186 1
As6 0.8341 0.8341 0.4151 1
# * energy of formation: -1517 meV per atom
# * symmetry: C2/m
# * V: 325.7 Å³/cell
# * DOS at the Fermi energy: 1.73 states/eV/cell

---

# 8
# PrNdSm2As4, relaxed, DFT PBE-GGA
data_PrNdSm2As4
_cell_length_a 7.3637
_cell_length_b 4.2555
_cell_length_c 7.3648
_cell_angle_alpha 90.00
_cell_angle_beta 109.46
_cell_angle_gamma 90.00
_symmetry_space_group_name_H-M 'P 1'
_symmetry_Int_Tables_number 1
_symmetry_space_group_name_Hall 'P 1'
loop_
_atom_site_label
_atom_site_fract_x
_atom_site_fract_y
_atom_site_fract_z
_atom_site_occupancy
Pr1 0.0000 0.0000 0.0000 1
Nd1 0.0000 0.5000 0.5000 1
Sm1 0.5000 0.0000 0.5000 1
Sm2 0.5000 0.5000 0.0000 1
As1 0.2541 0.0000 0.7505 1
As2 0.2549 0.5000 0.2525 1
As3 0.7451 0.5000 0.7475 1
As4 0.7459 0.0000 0.2495 1
# * energy of formation: -1516 meV per atom
# * symmetry: P2/m
# * V: 217.6 Å³/cell
# * DOS at the Fermi energy: 0.71 states/eV/cell

---

> What is the DOS at the Fermi energy in the first record?

0.94 states/eV/cell